A plane-wave DFT calculation with PBE was carried out for a relaxed SrReB2W crystal.

Cell: 4.153 4.153 5.245 Å, 90.00 90.00 90.00°
Element x y z (fractional)
Sr (0.000, 0.000, 0.000)
Re (0.000, 0.000, 0.500)
B (0.000, 0.500, 0.000)
B (0.500, 0.000, 0.000)
W (0.500, 0.500, 0.500)

Properties
* formation enthalpy at 0 K: 3.601 eV per atom
* uncorrected energy: -4.49 eV per atom
* density: 8.798 Mg/m³

A plane-wave DFT calculation with PBE was carried out for a relaxed TaReB crystal.

Cell: 11.118 3.167 6.489 Å, 90.00 90.00 90.00°
Element x y z (fractional)
Ta (0.045, 0.000, 0.222)
Ta (0.250, 0.000, 0.850)
Ta (0.455, 0.000, 0.222)
Ta (0.545, 0.000, 0.778)
Ta (0.750, 0.000, 0.150)
Ta (0.955, 0.000, 0.778)
Re (0.121, 0.500, 0.573)
Re (0.250, 0.500, 0.195)
Re (0.379, 0.500, 0.573)
Re (0.621, 0.500, 0.427)
Re (0.750, 0.500, 0.805)
Re (0.879, 0.500, 0.427)
B (0.089, 0.500, 0.943)
B (0.250, 0.000, 0.450)
B (0.411, 0.500, 0.943)
B (0.589, 0.500, 0.057)
B (0.750, 0.000, 0.550)
B (0.911, 0.500, 0.057)

Properties
* energy above the most stable polymorph in this dataset: 0.000 eV/f.u.
* formation enthalpy at 0 K: -0.567 eV per atom
* uncorrected energy: -10.89 eV per atom
* density: 16.482 Mg/m³

A plane-wave DFT calculation with PBE was carried out for a relaxed TaRe4B2 crystal.

Cell: 6.676 6.676 3.803 Å, 90.00 90.00 146.68°
Element x y z (fractional)
Ta (0.000, 0.000, 0.000)
Re (0.171, 0.829, 0.500)
Re (0.323, 0.677, 0.000)
Re (0.677, 0.323, 0.000)
Re (0.829, 0.171, 0.500)
B (0.430, 0.570, 0.500)
B (0.570, 0.430, 0.500)

Properties
* formation enthalpy at 0 K: 0.017 eV per atom
* uncorrected energy: -10.70 eV per atom
* density: 16.898 Mg/m³

A plane-wave DFT calculation with PBE was carried out for a relaxed TaReB crystal.

Cell: 3.033 4.658 5.669 Å, 90.00 90.00 90.00°
Element x y z (fractional)
Ta (0.000, 0.107, 0.000)
Ta (0.000, 0.893, 0.500)
Re (0.500, 0.394, 0.352)
Re (0.500, 0.606, 0.852)
B (0.000, 0.364, 0.643)
B (0.000, 0.636, 0.143)

Properties
* energy above the most stable polymorph in this dataset: 0.871 eV/f.u.
* formation enthalpy at 0 K: -0.277 eV per atom
* uncorrected energy: -10.60 eV per atom
* density: 15.674 Mg/m³

A plane-wave DFT calculation with PBE was carried out for a relaxed Ta2ReB crystal.

Cell: 5.803 5.803 5.803 Å, 98.35 98.35 135.20°
Element x y z (fractional)
Ta (0.008, 0.125, 0.383)
Ta (0.375, 0.992, 0.117)
Ta (0.742, 0.625, 0.617)
Ta (0.875, 0.258, 0.883)
Re (0.250, 0.750, 0.500)
Re (0.500, 0.500, 0.000)
B (0.000, 0.000, 0.000)
B (0.750, 0.250, 0.500)

Properties
* formation enthalpy at 0 K: 0.275 eV per atom
* uncorrected energy: -10.43 eV per atom
* density: 14.582 Mg/m³

A plane-wave DFT calculation with PBE was carried out for a relaxed TaRe6B6 crystal.

Cell: 6.105 6.105 6.105 Å, 136.29 101.95 94.02°
Element x y z (fractional)
Ta (0.000, 0.000, 0.000)
Re (0.184, 0.684, 0.500)
Re (0.337, 0.000, 0.337)
Re (0.347, 0.347, 0.000)
Re (0.653, 0.653, 0.000)
Re (0.663, 0.000, 0.663)
Re (0.816, 0.316, 0.500)
B (0.000, 0.000, 0.500)
B (0.000, 0.500, 0.000)
B (0.231, 0.500, 0.731)
B (0.500, 0.000, 0.000)
B (0.500, 0.500, 0.500)
B (0.769, 0.500, 0.269)

Properties
* formation enthalpy at 0 K: 0.356 eV per atom
* uncorrected energy: -9.38 eV per atom
* density: 15.558 Mg/m³

Look up the density of the fifth one.
14.582 Mg/m³

Which formula does entry 5 have?
Ta2ReB

What is the formula in the second record?
TaReB

Look up the uncorrected energy of the sixth one.
-9.38 eV per atom